Run i
CoNiSe2 at its PBEsol-relaxed geometry. Source: Alexandria, functional SCAN.

**ρ**: 6.58 g cm⁻³
**Spin magnetization**: 2.7 Bohr magnetons per cell

a = 3.3533 Å, b = 3.3533 Å, c = 21.4186 Å
α = 90.00°, β = 90.00°, γ = 120.00°
Space group R-3m (No. 166, hexagonal axes)
One atom of each set of equivalent atoms:
Co  0.0000  0.0000  0.0000 x3
Ni  0.0000  0.0000  0.5000 x3
Se  0.0000  0.0000  0.1038 x6

=====

Run ii
CoNiSe2 at its PBEsol-relaxed geometry. Source: Alexandria, functional SCAN.

**ρ**: 7.97 g cm⁻³
**Spin magnetization**: 0.6 Bohr magnetons per cell

a = 3.6115 Å, b = 3.6115 Å, c = 5.0817 Å
α = 90.00°, β = 90.00°, γ = 120.00°
Space group P-3m1 (No. 164)
One atom of each set of equivalent atoms:
Co  0.0000  0.0000  0.0000 x1
Ni  0.0000  0.0000  0.5000 x1
Se  0.3333  0.6667  0.7626 x2

=====

Most stable to least stable: run ii, run i

=====

Run i
CoNiSe2 at its PBEsol-relaxed geometry. Source: Alexandria, functional SCAN.

**ρ**: 6.65 g cm⁻³
**Spin magnetization**: 2.1 Bohr magnetons per cell

a = 3.607 Å, b = 3.607 Å, c = 5.292 Å
α = 90.00°, β = 90.00°, γ = 90.00°
Space group P-4m2 (No. 115)
One atom of each set of equivalent atoms:
Co  0.000  0.000  0.000 x1
Ni  0.500  0.500  0.000 x1
Se  0.000  0.500  0.725 x2

=====

Run ii
CoNiSe2 at its PBEsol-relaxed geometry. Source: Alexandria, functional SCAN.

**ρ**: 7.34 g cm⁻³
**Spin magnetization**: 0.0 Bohr magnetons per cell

a = 3.130 Å, b = 3.386 Å, c = 11.767 Å
α = 90.00°, β = 90.00°, γ = 90.00°
Space group Imm2 (No. 44)
One atom of each set of equivalent atoms:
Co  0.000  0.000  0.000 x2
Ni  0.000  0.500  0.843 x2
Se  0.000  0.000  0.586 x2
Se  0.000  0.500  0.340 x2

=====

Most stable to least stable: run i, run ii

=====

Run i
Sr2CoNi at its PBEsol-relaxed geometry. Source: Alexandria, functional SCAN.

**ρ**: 5.38 g cm⁻³
**Spin magnetization**: 6.5 Bohr magnetons per cell

a = 7.126 Å, b = 7.126 Å, c = 7.126 Å
α = 90.00°, β = 90.00°, γ = 90.00°
Space group Fm-3m (No. 225)
One atom of each set of equivalent atoms:
Sr  0.250  0.250  0.250 x8
Co  0.000  0.000  0.000 x4
Ni  0.000  0.000  0.500 x4

=====

Run ii
Sr2CoNi at its PBEsol-relaxed geometry. Source: Alexandria, functional SCAN.

**ρ**: 5.46 g cm⁻³
**Spin magnetization**: 3.3 Bohr magnetons per cell

a = 4.189 Å, b = 4.189 Å, c = 10.143 Å
α = 90.00°, β = 90.00°, γ = 90.00°
Space group I-4m2 (No. 119)
One atom of each set of equivalent atoms:
Sr  0.000  0.000  0.000 x2
Sr  0.000  0.500  0.250 x2
Co  0.000  0.000  0.500 x2
Ni  0.000  0.500  0.750 x2

=====

Most stable to least stable: run i, run ii

=====

Run i
CoTc2Ni at its PBEsol-relaxed geometry. Source: Alexandria, functional SCAN.

**ρ**: 10.83 g cm⁻³
**Spin magnetization**: 4.0 Bohr magnetons per cell

a = 5.090 Å, b = 7.404 Å, c = 2.552 Å
α = 90.00°, β = 90.00°, γ = 90.00°
Space group Cmmm (No. 65)
One atom of each set of equivalent atoms:
Co  0.000  0.000  0.000 x2
Tc  0.250  0.250  0.500 x4
Ni  0.000  0.500  0.000 x2

=====

Run ii
CoTc2Ni at its PBEsol-relaxed geometry. Source: Alexandria, functional SCAN.

**ρ**: 10.91 g cm⁻³
**Spin magnetization**: 0.8 Bohr magnetons per cell

a = 2.575 Å, b = 4.121 Å, c = 4.498 Å
α = 90.00°, β = 90.00°, γ = 90.00°
Space group Pmm2 (No. 25)
One atom of each set of equivalent atoms:
Co  0.000  0.000  0.000 x1
Tc  0.500  0.000  0.515 x1
Tc  0.500  0.500  0.173 x1
Ni  0.000  0.500  0.688 x1

=====

Run iii
CoTc2Ni at its PBEsol-relaxed geometry. Source: Alexandria, functional SCAN.

**ρ**: 10.75 g cm⁻³
**Spin magnetization**: 4.0 Bohr magnetons per cell

a = 3.658 Å, b = 3.658 Å, c = 7.241 Å
α = 90.00°, β = 90.00°, γ = 90.00°
Space group I-4m2 (No. 119)
One atom of each set of equivalent atoms:
Co  0.000  0.000  0.000 x2
Tc  0.000  0.000  0.500 x2
Tc  0.000  0.500  0.750 x2
Ni  0.000  0.500  0.250 x2

=====

Most stable to least stable: run ii, run iii, run i

=====

Run i
Co2TcNi at its PBEsol-relaxed geometry. Source: Alexandria, functional SCAN.

**ρ**: 10.23 g cm⁻³
**Spin magnetization**: 8.4 Bohr magnetons per cell

a = 5.030 Å, b = 7.037 Å, c = 2.518 Å
α = 90.00°, β = 90.00°, γ = 90.00°
Space group Cmmm (No. 65)
One atom of each set of equivalent atoms:
Co  0.250  0.250  0.000 x4
Tc  0.000  0.000  0.500 x2
Ni  0.000  0.500  0.500 x2

=====

Run ii
Co2TcNi at its PBEsol-relaxed geometry. Source: Alexandria, functional SCAN.

**ρ**: 10.34 g cm⁻³
**Spin magnetization**: 3.7 Bohr magnetons per cell

a = 3.569 Å, b = 3.569 Å, c = 3.463 Å
α = 90.00°, β = 90.00°, γ = 90.00°
Space group P4/mmm (No. 123)
One atom of each set of equivalent atoms:
Co  0.000  0.500  0.000 x2
Tc  0.000  0.000  0.500 x1
Ni  0.500  0.500  0.500 x1

=====

Most stable to least stable: run ii, run i

=====

Run i
TlCoNi2 at its PBEsol-relaxed geometry. Source: Alexandria, functional SCAN.

**ρ**: 12.00 g cm⁻³
**Spin magnetization**: 4.6 Bohr magnetons per cell

a = 5.334 Å, b = 6.905 Å, c = 2.860 Å
α = 90.00°, β = 90.00°, γ = 90.00°
Space group Cmmm (No. 65)
One atom of each set of equivalent atoms:
Tl  0.000  0.000  0.000 x2
Co  0.000  0.500  0.000 x2
Ni  0.250  0.250  0.500 x4

=====

Run ii
TlCoNi2 at its PBEsol-relaxed geometry. Source: Alexandria, functional SCAN.

**ρ**: 12.07 g cm⁻³
**Spin magnetization**: 2.8 Bohr magnetons per cell

a = 3.024 Å, b = 3.024 Å, c = 5.730 Å
α = 90.00°, β = 90.00°, γ = 90.00°
Space group P4mm (No. 99)
One atom of each set of equivalent atoms:
Tl  0.000  0.000  0.000 x1
Co  0.500  0.500  0.299 x1
Ni  0.000  0.000  0.498 x1
Ni  0.500  0.500  0.717 x1

=====

Most stable to least stable: run ii, run i

=====

Run i
CoNi2W at its PBEsol-relaxed geometry. Source: Alexandria, functional SCAN.

**ρ**: 13.12 g cm⁻³
**Spin magnetization**: 0.6 Bohr magnetons per cell

a = 3.575 Å, b = 3.575 Å, c = 7.132 Å
α = 90.00°, β = 90.00°, γ = 90.00°
Space group I-4m2 (No. 119)
One atom of each set of equivalent atoms:
Co  0.000  0.000  0.000 x2
Ni  0.000  0.000  0.500 x2
Ni  0.000  0.500  0.250 x2
W  0.000  0.500  0.750 x2

=====

Run ii
CoNi2W at its PBEsol-relaxed geometry. Source: Alexandria, functional SCAN.

**ρ**: 12.93 g cm⁻³
**Spin magnetization**: 6.0 Bohr magnetons per cell

a = 5.698 Å, b = 5.698 Å, c = 5.698 Å
α = 90.00°, β = 90.00°, γ = 90.00°
Space group Fm-3m (No. 225)
One atom of each set of equivalent atoms:
Co  0.000  0.000  0.000 x4
Ni  0.250  0.250  0.250 x8
W  0.000  0.000  0.500 x4

=====

Most stable to least stable: run i, run ii

=====

Run i
YCoNi2 at its PBEsol-relaxed geometry. Source: Alexandria, functional SCAN.

**ρ**: 7.99 g cm⁻³
**Spin magnetization**: 4.1 Bohr magnetons per cell

a = 3.825 Å, b = 3.825 Å, c = 7.534 Å
α = 90.00°, β = 90.00°, γ = 90.00°
Space group I-4m2 (No. 119)
One atom of each set of equivalent atoms:
Y  0.000  0.000  0.000 x2
Co  0.000  0.500  0.250 x2
Ni  0.000  0.000  0.500 x2
Ni  0.000  0.500  0.750 x2

=====

Run ii
YCoNi2 at its PBEsol-relaxed geometry. Source: Alexandria, functional SCAN.

**ρ**: 7.98 g cm⁻³
**Spin magnetization**: 3.9 Bohr magnetons per cell

a = 3.832 Å, b = 3.832 Å, c = 7.516 Å
α = 90.00°, β = 90.00°, γ = 90.00°
Space group I4/mmm (No. 139)
One atom of each set of equivalent atoms:
Y  0.000  0.000  0.000 x2
Co  0.000  0.000  0.500 x2
Ni  0.000  0.500  0.250 x4

=====

Most stable to least stable: run i, run ii